Entry 1:
The following is a DFT calculation (GGA-PBE) of a relaxed Ni4Ir crystal.

Energy of formation from the pure elements: 10.402 kcal/mol of atoms
Spin magnetization: 3.3 μB/f.u.
Energy above the most stable polymorph in this dataset: 443 meV per atom
Density of states at the Fermi level: 9.4 states/eV/f.u.

Unit cell a=6.1781 b=6.1781 c=6.1781 alpha=148.97 beta=148.97 gamma=44.45
Last column: nearest neighbours and their distance in Å.
Fractional coordinates of all 5 atoms:
1 Ni 0.1002 0.1002 0.0000  5 Ni 2.29-2.38
2 Ni 0.2500 0.7500 0.5000  8 Ni 2.34-2.38
3 Ni 0.7500 0.2500 0.5000  8 Ni 2.34-2.38
4 Ni 0.8998 0.8998 0.0000  5 Ni 2.29-2.38
5 Ir 0.5000 0.5000 0.0000  8 Ni 2.60

Entry 2:
The following is a DFT calculation (GGA-PBE) of a relaxed ZrTeP crystal.

Spin magnetization: 0.0 μB/f.u.
Formation energy without anion corrections: -0.471 eV per atom
Density of states at the Fermi level: 3.1 states/eV/f.u.

Unit cell a=4.4827 b=4.4827 c=3.9316 alpha=90.00 beta=90.00 gamma=120.00
Last column: nearest neighbours and their distance in Å.
Fractional coordinates of all 3 atoms:
1 Zr 0.0000 0.0000 0.0000  3 P 2.59
2 Te 0.6667 0.3333 0.5000  6 Zr 3.25, 6 P 3.25
3 P 0.3333 0.6667 0.0000  3 Zr 2.59

Entry 3:
The following is a DFT calculation (GGA-PBE) of a relaxed Rb3TmAg2I8 crystal.

Spin magnetization: 0.0 μB/f.u.
Formation energy without anion corrections: -1.041 eV per atom
Density of states at the Fermi level: 0.0 states/eV/f.u.

Unit cell a=8.4880 b=8.4880 c=10.6680 alpha=90.00 beta=90.00 gamma=120.00
Last column: nearest neighbours and their distance in Å.
Fractional coordinates of all 14 atoms:
1 Rb 0.0000 0.0000 0.0000  6 I 4.27
2 Rb 0.3333 0.6667 0.6084  4 I 3.50-3.88
3 Rb 0.6667 0.3333 0.3916  4 I 3.50-3.88
4 Tm 0.0000 0.0000 0.5000  6 I 2.99
5 Ag 0.3333 0.6667 0.1881  4 I 2.68-2.94
6 Ag 0.6667 0.3333 0.8119  4 I 2.68-2.94
7 I 0.1627 0.3253 0.3313  1 Ag 2.94, 1 Tm 2.99
8 I 0.1627 0.8373 0.3313  1 Ag 2.94, 1 Tm 2.99
9 I 0.3253 0.1627 0.6687  1 Ag 2.94, 1 Tm 2.99
10 I 0.3333 0.6667 0.9368  1 Ag 2.68
11 I 0.6667 0.3333 0.0632  1 Ag 2.68
12 I 0.6747 0.8373 0.3313  1 Ag 2.94, 1 Tm 2.99
13 I 0.8373 0.1627 0.6687  1 Ag 2.94, 1 Tm 2.99
14 I 0.8373 0.6747 0.6687  1 Ag 2.94, 1 Tm 2.99

Entry 4:
The following is a DFT calculation (GGA-PBE) of a relaxed Ce4Nd2Ge3H2 crystal.

VASP energy: -5.452 eV/atom
Spin magnetization: 1.9 μB/f.u.
Density of states at the Fermi level: 17.7 states/eV/f.u.

Unit cell a=12.7460 b=12.7460 c=12.7460 alpha=159.63 beta=159.63 gamma=28.97
Last column: nearest neighbours and their distance in Å.
Fractional coordinates of all 11 atoms:
1 Ce 0.0804 0.5804 0.5000  2 H 2.35
2 Ce 0.4196 0.9196 0.5000  2 H 2.35
3 Ce 0.5804 0.0804 0.5000  2 H 2.35
4 Ce 0.9196 0.4196 0.5000  2 H 2.35
5 Nd 0.2029 0.2029 0.0000  1 H 2.35
6 Nd 0.7971 0.7971 0.0000  1 H 2.35
7 Ge 0.3294 0.3294 0.0000  5 Nd 3.12-3.29, 4 Ce 3.17
8 Ge 0.5000 0.5000 0.0000  8 Ce 3.00
9 Ge 0.6706 0.6706 0.0000  5 Nd 3.12-3.29, 4 Ce 3.17
10 H 0.1076 0.1076 0.0000  4 Ce 2.35, 1 Nd 2.35
11 H 0.8924 0.8924 0.0000  4 Ce 2.35, 1 Nd 2.35

Entry 5:
The following is a DFT calculation (GGA-PBE) of a relaxed NbSi6W2 crystal.

Spin magnetization: 0.0 μB/f.u.
Formation energy without anion corrections: -0.381 eV per atom
Density of states at the Fermi level: 2.2 states/eV/f.u.

Unit cell a=4.6889 b=4.6889 c=6.5763 alpha=90.00 beta=90.00 gamma=119.66
Last column: nearest neighbours and their distance in Å.
Fractional coordinates of all 9 atoms:
1 Nb 0.0000 0.0000 0.0000  10 Si 2.60-2.74
2 Si 0.1762 0.3388 0.3343  5 Si 2.55-2.76, 4 W 2.57-2.76, 1 Nb 2.60
3 Si 0.3382 0.6618 0.0000  5 Si 2.56-2.76, 2 W 2.60, 3 Nb 2.70-2.74
4 Si 0.3388 0.1762 0.6657  5 Si 2.55-2.76, 4 W 2.57-2.76, 1 Nb 2.60
5 Si 0.6612 0.8238 0.6657  5 Si 2.55-2.76, 4 W 2.57-2.76, 1 Nb 2.60
6 Si 0.6618 0.3382 0.0000  5 Si 2.56-2.76, 2 W 2.60, 3 Nb 2.70-2.74
7 Si 0.8238 0.6612 0.3343  5 Si 2.55-2.76, 4 W 2.57-2.76, 1 Nb 2.60
8 W 0.0000 0.5000 0.6647  10 Si 2.57-2.76
9 W 0.5000 0.0000 0.3353  10 Si 2.57-2.76

Entry 6:
The following is a DFT calculation (GGA-PBE) of a relaxed MgSnHSe crystal.

Spin magnetization: 0.0 μB/f.u.
Energy above the most stable polymorph in this dataset: 55 meV per atom
Density of states at the Fermi level: 0.8 states/eV/f.u.

Unit cell a=4.5201 b=4.5201 c=5.4715 alpha=99.45 beta=99.45 gamma=49.32
Last column: nearest neighbours and their distance in Å.
Fractional coordinates of all 4 atoms:
1 Mg 0.0000 0.0000 0.0000  1 H 2.02
2 Sn 0.7252 0.7252 0.3704  1 H 1.85
3 H 0.9462 0.9462 0.3453  1 Sn 1.85, 1 Mg 2.02
4 Se 0.2796 0.2796 0.8060  3 Mg 2.70, 2 Sn 3.01

Entry 7:
The following is a DFT calculation (GGA-PBE) of a relaxed Pm2Y6Ho3Th crystal.

Energy of formation from the pure elements: 0.704 kcal/mol of atoms
Spin magnetization: 0.0 μB/f.u.
Density of states at the Fermi level: 17.0 states/eV/f.u.

Unit cell a=6.2002 b=6.2002 c=11.8201 alpha=95.01 beta=95.01 gamma=119.95
Last column: nearest neighbours and their distance in Å.
Fractional coordinates of all 12 atoms:
1 Pm 0.1666 0.8334 0.0000  3 Pm 3.58, 3 Th 3.58, 6 Y 3.58-3.59
2 Pm 0.8334 0.1666 0.0000  3 Pm 3.58, 3 Th 3.58, 6 Y 3.58-3.59
3 Y 0.0856 0.4155 0.7489  6 Y 3.54-3.60, 3 Ho 3.55-3.57, 1 Th 3.57, 2 Pm 3.58-3.59
4 Y 0.2549 0.2549 0.2512  6 Y 3.54-3.60, 3 Ho 3.55-3.57, 1 Th 3.57, 2 Pm 3.59
5 Y 0.4155 0.0856 0.7489  6 Y 3.54-3.60, 3 Ho 3.55-3.57, 1 Th 3.57, 2 Pm 3.58-3.59
6 Y 0.5845 0.9144 0.2511  6 Y 3.54-3.60, 3 Ho 3.55-3.57, 1 Th 3.57, 2 Pm 3.58-3.59
7 Y 0.7451 0.7451 0.7488  6 Y 3.54-3.60, 3 Ho 3.55-3.57, 1 Th 3.57, 2 Pm 3.59
8 Y 0.9144 0.5845 0.2511  6 Y 3.54-3.60, 3 Ho 3.55-3.57, 1 Th 3.57, 2 Pm 3.58-3.59
9 Ho 0.0000 0.0000 0.5000  6 Y 3.55-3.57, 6 Ho 3.57-3.58
10 Ho 0.3329 0.6671 0.5000  6 Y 3.55-3.57, 6 Ho 3.57-3.59
11 Ho 0.6671 0.3329 0.5000  6 Y 3.55-3.57, 6 Ho 3.57-3.59
12 Th 0.5000 0.5000 0.0000  6 Y 3.57, 6 Pm 3.58

Entry 8:
The following is a DFT calculation (GGA-PBE) of a relaxed Nb2CrCuH crystal.

Spin magnetization: 0.0 μB/f.u.
Energy above the most stable polymorph in this dataset: 28 meV per atom
Density of states at the Fermi level: 2.8 states/eV/f.u.

Unit cell a=4.2736 b=4.2736 c=3.4389 alpha=90.00 beta=90.00 gamma=90.00
Last column: nearest neighbours and their distance in Å.
Fractional coordinates of all 5 atoms:
1 Nb 0.0000 0.5000 0.0000  2 H 2.14
2 Nb 0.5000 0.0000 0.0000  2 H 2.14
3 Cr 0.0000 0.0000 0.5000  8 Nb 2.74, 4 Cu 3.02
4 Cu 0.5000 0.5000 0.5000  2 H 1.72
5 H 0.5000 0.5000 0.0000  2 Cu 1.72

Q: Among the records above, which one has the highest spin magnetization?
A: Ni4Ir